Entry 1:
# PBE Tl3TeN, optimized geometry
data_Tl3TeN
_cell_length_a 4.791
_cell_length_b 7.061
_cell_length_c 9.792
_cell_angle_alpha 97.25
_cell_angle_beta 96.22
_cell_angle_gamma 102.41
_symmetry_space_group_name_H-M 'P 1'
_symmetry_Int_Tables_number 1
loop_
_symmetry_equiv_pos_as_xyz
'x,y,z'
loop_
_atom_site_label
_atom_site_type_symbol
_atom_site_fract_x
_atom_site_fract_y
_atom_site_fract_z
Tl1 Tl 0.070 0.059 0.345
Tl2 Tl 0.261 0.608 0.855
Tl3 Tl 0.312 0.640 0.436
Tl4 Tl 0.688 0.360 0.564
Tl5 Tl 0.739 0.392 0.145
Tl6 Tl 0.930 0.941 0.655
Te1 Te 0.176 0.225 0.961
Te2 Te 0.824 0.775 0.039
N1 N 0.078 0.649 0.652
N2 N 0.922 0.351 0.348
# Uncorrected formation energy in eV per atom: 0.3877
# Energy above the most stable polymorph in this dataset in meV/atom: 0
# Space-group type: No. 2
# Electronic total energy in eV per formula unit: -16.63
# N(E_F) in states/eV per atom: 0.19

---

Entry 2:
# PBE Ba2Ho3TmO8, optimized geometry
data_Ba2Ho3TmO8
_cell_length_a 7.218
_cell_length_b 7.218
_cell_length_c 7.218
_cell_angle_alpha 57.68
_cell_angle_beta 57.68
_cell_angle_gamma 57.68
_symmetry_space_group_name_H-M 'P 1'
_symmetry_Int_Tables_number 1
loop_
_symmetry_equiv_pos_as_xyz
'x,y,z'
loop_
_atom_site_label
_atom_site_type_symbol
_atom_site_fract_x
_atom_site_fract_y
_atom_site_fract_z
Ba1 Ba 0.000 0.000 0.000
Ba2 Ba 0.379 0.379 0.379
Ho1 Ho 0.005 0.005 0.492
Ho2 Ho 0.005 0.492 0.005
Ho3 Ho 0.492 0.005 0.005
Tm1 Tm 0.618 0.618 0.618
O1 O 0.232 0.232 0.232
O2 O 0.245 0.736 0.736
O3 O 0.251 0.251 0.812
O4 O 0.251 0.812 0.251
O5 O 0.736 0.245 0.736
O6 O 0.736 0.736 0.245
O7 O 0.756 0.756 0.756
O8 O 0.812 0.251 0.251
# Uncorrected formation energy in eV per atom: -3.1733
# Space-group type: No. 160
# Electronic total energy in eV per formula unit: -106.14
# N(E_F) in states/eV per atom: 0.00